Record 1
Below is a relaxed WBr3N crystal, with properties calculated at the PBE-GGA level.

abc: 5.0015 5.0015 5.0015
angles: 90.00 90.00 90.00
Sites, in units of the cell vectors:
Br 0.0000 0.5000 0.0000
Br 0.0000 0.0000 0.5000
Br 0.5000 0.0000 0.0000
W 0.0000 0.0000 0.0000
N 0.5000 0.5000 0.5000

Computed properties:
As for the formation energy from raw total energies: 1.579 eV/atom. Its space group is Pm-3m (221). The value obtained for the density of states at the Fermi level is 12.7 states/eV/cell. The energy above the most stable polymorph in this dataset is 0 meV/atom. Its uncorrected energy is -18.40 eV per formula unit.

=====

Record 2
Below is a relaxed WBrN2 crystal, with properties calculated at the PBE-GGA level.

abc: 6.0818 6.0818 6.0842
angles: 60.01 60.01 90.00
Last column: magnetic moment on the atom in μB.
Sites, in units of the cell vectors:
Br 0.5000 0.5000 0.0000  0.57
Br 0.2500 0.7500 0.5000  0.57
W 0.0000 0.0000 0.0000  -0.05
W 0.7500 0.2500 0.5000  -0.05
N 0.8748 0.1250 0.2500  0.11
N 0.8752 0.6250 0.2500  0.12
N 0.3750 0.1252 0.7500  0.09
N 0.8750 0.1248 0.7500  0.11

Computed properties:
As for the formation energy from raw total energies: 0.061 eV/atom. Its space group is Fd-3m (227). The value obtained for the density of states at the Fermi level is 7.2 states/eV/cell. The energy above the most stable polymorph in this dataset is 0 meV/atom. Its uncorrected energy is -31.03 eV per formula unit.

=====

Record 3
Below is a relaxed W2BrN crystal, with properties calculated at the PBE-GGA level.

abc: 4.2345 4.2345 4.2345
angles: 60.00 60.00 60.00
Sites, in units of the cell vectors:
Br 0.5000 0.5000 0.5000
W 0.2500 0.2500 0.2500
W 0.7500 0.7500 0.7500
N 0.0000 0.0000 0.0000

Computed properties:
As for the formation energy from raw total energies: 1.608 eV/atom. Its space group is Fm-3m (225). The value obtained for the density of states at the Fermi level is 2.8 states/eV/cell. The energy above the most stable polymorph in this dataset is 857 meV/atom. Its uncorrected energy is -29.47 eV per formula unit.

=====

Record 4
Below is a relaxed YBr3N crystal, with properties calculated at the PBE-GGA level.

abc: 5.5981 5.5981 5.5981
angles: 90.00 90.00 90.00
Last column: magnetic moment on the atom in μB.
Sites, in units of the cell vectors:
Y 0.0000 0.0000 0.0000  0.00
Br 0.0000 0.5000 0.0000  0.01
Br 0.0000 0.0000 0.5000  0.02
Br 0.5000 0.0000 0.0000  0.01
N 0.5000 0.5000 0.5000  1.93

Computed properties:
As for the formation energy from raw total energies: -0.387 eV/atom. Its space group is Pm-3m (221). The value obtained for the density of states at the Fermi level is 0.0 states/eV/cell. The energy above the most stable polymorph in this dataset is 89 meV/atom. Its uncorrected energy is -21.75 eV per formula unit.

=====

Record 5
Below is a relaxed YBr3N crystal, with properties calculated at the PBE-GGA level.

abc: 4.7610 4.7610 4.7610
angles: 90.00 90.00 90.00
Sites, in units of the cell vectors:
Y 0.5000 0.5000 0.5000
Br 0.0000 0.5000 0.0000
Br 0.0000 0.0000 0.5000
Br 0.5000 0.0000 0.0000
N 0.0000 0.0000 0.0000

Computed properties:
As for the formation energy from raw total energies: 0.285 eV/atom. Its space group is Pm-3m (221). The value obtained for the density of states at the Fermi level is 2.5 states/eV/cell. The energy above the most stable polymorph in this dataset is 761 meV/atom. Its uncorrected energy is -18.38 eV per formula unit.

=====

Record 6
Below is a relaxed Y3Br3N crystal, with properties calculated at the PBE-GGA level.

abc: 6.4642 6.4642 11.1897
angles: 73.21 73.21 60.00
Sites, in units of the cell vectors:
Y 0.9583 0.3101 0.1251
Y 0.6065 0.9583 0.1251
Y 0.3101 0.6065 0.1251
Y 0.6899 0.3935 0.8749
Y 0.3935 0.0417 0.8749
Y 0.0417 0.6899 0.8749
Br 0.2246 0.8974 0.3077
Br 0.5702 0.2246 0.3077
Br 0.8974 0.5702 0.3077
Br 0.1026 0.4298 0.6923
Br 0.4298 0.7754 0.6923
Br 0.7754 0.1026 0.6923
N 0.6667 0.6667 0.0000
N 0.3333 0.3333 0.0000

Computed properties:
As for the formation energy from raw total energies: -1.567 eV/atom. Its space group is R-3 (148). The value obtained for the density of states at the Fermi level is 5.6 states/eV/cell. Its uncorrected energy is -43.70 eV per formula unit.

=====

Record 7
Below is a relaxed YBrN2 crystal, with properties calculated at the PBE-GGA level.

abc: 4.8217 4.8217 7.0882
angles: 70.12 70.12 90.00
Sites, in units of the cell vectors:
Y 0.0000 0.0000 0.0000
Y 0.7500 0.2500 0.5000
Br 0.5000 0.5000 0.0000
Br 0.2500 0.7500 0.5000
N 0.6194 0.1250 0.2500
N 0.1306 0.6250 0.2500
N 0.3750 0.3806 0.7500
N 0.8750 0.8694 0.7500

Computed properties:
As for the formation energy from raw total energies: 0.600 eV/atom. Its space group is I-42d (122). The value obtained for the density of states at the Fermi level is 4.5 states/eV/cell. The energy above the most stable polymorph in this dataset is 523 meV/atom. Its uncorrected energy is -22.39 eV per formula unit.

=====

Record 8
Below is a relaxed YBr3N crystal, with properties calculated at the PBE-GGA level.

abc: 7.2962 7.2934 9.1519
angles: 91.72 110.21 59.92
Last column: magnetic moment on the atom in μB.
Sites, in units of the cell vectors:
Y 0.8521 0.3166 0.5269  0.01
Y 0.5156 0.9832 0.5275  0.01
Br 0.0774 0.3265 0.3348  0.00
Br 0.2903 0.9733 0.7196  0.00
Br 0.6592 0.2349 0.7176  -0.01
Br 0.4462 0.6958 0.3358  0.00
Br 0.7085 0.0649 0.3367  -0.01
Br 0.9216 0.6041 0.7185  0.00
N 0.4963 0.4937 0.9973  1.92
N 0.8736 0.8060 0.0577  1.92

Computed properties:
As for the formation energy from raw total energies: -0.476 eV/atom. Its space group is P1 (1). The value obtained for the density of states at the Fermi level is 0.0 states/eV/cell. The energy above the most stable polymorph in this dataset is 0 meV/atom. Its uncorrected energy is -22.19 eV per formula unit.

=====

Record 9
Below is a relaxed YBrN2 crystal, with properties calculated at the PBE-GGA level.

abc: 7.0211 7.0211 7.0211
angles: 28.29 28.29 28.29
Sites, in units of the cell vectors:
Y 0.0000 0.0000 0.0000
Br 0.5000 0.5000 0.5000
N 0.8866 0.8866 0.8866
N 0.1134 0.1134 0.1134

Computed properties:
As for the formation energy from raw total energies: 1.466 eV/atom. Its space group is R-3m (166). The value obtained for the density of states at the Fermi level is 1.3 states/eV/cell. The energy above the most stable polymorph in this dataset is 1388 meV/atom. Its uncorrected energy is -18.92 eV per formula unit.

=====

Record 10
Below is a relaxed Y4Br5N crystal, with properties calculated at the PBE-GGA level.

abc: 3.7688 8.0844 9.0445
angles: 102.72 102.03 90.00
Sites, in units of the cell vectors:
Y 0.6358 0.0696 0.2716
Y 0.9987 0.1984 0.9975
Y 0.3642 0.9304 0.7284
Y 0.0013 0.8016 0.0025
Br 0.1633 0.3421 0.3265
Br 0.1702 0.8246 0.3404
Br 0.8298 0.1754 0.6596
Br 0.5000 0.5000 0.0000
Br 0.8367 0.6579 0.6735
N 0.5000 0.0000 0.0000

Computed properties:
As for the formation energy from raw total energies: -1.595 eV/atom. Its space group is C2/m (12). The value obtained for the density of states at the Fermi level is 3.0 states/eV/cell. Its uncorrected energy is -58.50 eV per formula unit.

=====

Record 11
Below is a relaxed YBrN2 crystal, with properties calculated at the PBE-GGA level.

abc: 4.3629 4.3629 4.3629
angles: 60.00 60.00 60.00
Last column: magnetic moment on the atom in μB.
Sites, in units of the cell vectors:
Y 0.5000 0.5000 0.5000  0.10
Br 0.0000 0.0000 0.0000  0.35
N 0.2500 0.2500 0.2500  0.70
N 0.7500 0.7500 0.7500  0.70

Computed properties:
As for the formation energy from raw total energies: 0.885 eV/atom. Its space group is Fm-3m (225). The value obtained for the density of states at the Fermi level is 3.1 states/eV/cell. The energy above the most stable polymorph in this dataset is 807 meV/atom. Its uncorrected energy is -21.25 eV per formula unit.

=====

Record 12
Below is a relaxed YBrN2 crystal, with properties calculated at the PBE-GGA level.

abc: 6.5568 6.5568 6.5568
angles: 32.50 32.50 32.50
Sites, in units of the cell vectors:
Y 0.5000 0.5000 0.5000
Br 0.0000 0.0000 0.0000
N 0.8919 0.8919 0.8919
N 0.1081 0.1081 0.1081

Computed properties:
As for the formation energy from raw total energies: 0.077 eV/atom. Its space group is R-3m (166). The value obtained for the density of states at the Fermi level is 4.3 states/eV/cell. The energy above the most stable polymorph in this dataset is 0 meV/atom. Its uncorrected energy is -24.48 eV per formula unit.